No. 1
Below is Ba6TeAs2N after structural relaxation, with properties calculated at the PBE-GGA level.

Calculated density ... 4.8 g cm⁻³
Size of the total moment ... 0.865 μB/f.u.
Uncorrected formation energy ... -91 kJ per mole of atoms
Density of states at the Fermi level ... 0.31 states/eV/atom

a b c (Å): 7.7156 8.6269 13.6745
angles (deg): 90.00 121.90 90.00
Element x y z (fractional)
Ba: 0.0814 0.2109 0.4304
Ba: 0.0814 0.2891 0.9304
Ba: 0.2104 0.6621 0.4210
Ba: 0.2104 0.8379 0.9210
Ba: 0.3689 0.0526 0.2227
Ba: 0.3689 0.4474 0.7227
Ba: 0.6311 0.5526 0.2773
Ba: 0.6311 0.9474 0.7773
Ba: 0.7896 0.1621 0.0790
Ba: 0.7896 0.3379 0.5790
Ba: 0.9186 0.7109 0.0696
Ba: 0.9186 0.7891 0.5696
Te: 0.5000 0.0000 0.5000
Te: 0.5000 0.5000 0.0000
As: 0.1943 0.1002 0.7397
As: 0.1943 0.3998 0.2397
As: 0.8057 0.6002 0.7603
As: 0.8057 0.8998 0.2603
N: 0.0000 0.0000 0.0000
N: 0.0000 0.5000 0.5000

---

No. 2
Below is CsY3Pd after structural relaxation, with properties calculated at the PBE-GGA level.

Calculated density ... 5.0 g cm⁻³
Energy above the lowest structure with this stoichiometry ... 129.3 kJ per mole of atoms
Size of the total moment ... 0.000 μB/f.u.
Density of states at the Fermi level ... 0.65 states/eV/atom
ΔH_f (0 K) ... 134.8 kJ/mol of atoms

a b c (Å): 5.5143 5.5143 5.5143
angles (deg): 90.00 90.00 90.00
Element x y z (fractional)
Cs: 0.0000 0.0000 0.0000
Y: 0.0000 0.0000 0.5000
Y: 0.0000 0.5000 0.0000
Y: 0.5000 0.0000 0.0000
Pd: 0.5000 0.5000 0.5000

---

No. 3
Below is SbRuIO2 after structural relaxation, with properties calculated at the PBE-GGA level.

Calculated density ... 5.9 g cm⁻³
Energy above the lowest structure with this stoichiometry ... 0.0 kJ per mole of atoms
Size of the total moment ... 2.177 μB/f.u.
Uncorrected formation energy ... 14 kJ per mole of atoms
Density of states at the Fermi level ... 0.89 states/eV/atom

a b c (Å): 3.9736 3.9736 6.7581
angles (deg): 90.00 90.00 90.00
Element x y z (fractional)
Sb: 0.0000 0.0000 0.0000
Ru: 0.5000 0.5000 0.5000
I: 0.0000 0.0000 0.5000
O: 0.0000 0.5000 0.0000
O: 0.5000 0.0000 0.0000